(1)
A plane-wave DFT calculation with GGA-PBE was carried out for a relaxed Ti3PbSe crystal.

Results
The value obtained for the total energy is -6.1885 eV per atom. The calculation puts the energy relative to the lowest polymorph listed for this composition at 0.3343 eV/atom. The raw formation energy comes out at -0.013 eV/atom. The space-group type is Pm-3m, No. 221. The value obtained for the total magnetization is 1.97 μB/cell.

a b c (Å): 4.7392 4.7392 4.7392
angles (deg): 90.00 90.00 90.00
Sites, in units of the cell vectors:
1 Ti 0.0000 0.0000 0.5000
2 Ti 0.0000 0.5000 0.0000
3 Ti 0.5000 0.0000 0.0000
4 Pb 0.5000 0.5000 0.5000
5 Se 0.0000 0.0000 0.0000

---

(2)
A plane-wave DFT calculation with GGA-PBE was carried out for a relaxed CeGa12Rh4 crystal.

Results
The calculation puts the formation energy at -0.242 eV/atom. The value obtained for the total energy is -4.4572 eV per atom. The space-group type is Im-3, No. 204. The value obtained for the total magnetization is 1.09 μB/cell.

a b c (Å): 7.5936 7.5936 7.5936
angles (deg): 109.47 109.47 109.47
Sites, in units of the cell vectors:
1 Ce 0.0000 0.0000 0.0000
2 Ga 0.1578 0.4983 0.3405
3 Ga 0.1578 0.8174 0.6595
4 Ga 0.1826 0.3405 0.8422
5 Ga 0.3405 0.1578 0.4983
6 Ga 0.3405 0.8422 0.1826
7 Ga 0.4983 0.3405 0.1578
8 Ga 0.5017 0.6595 0.8422
9 Ga 0.6595 0.1578 0.8174
10 Ga 0.6595 0.8422 0.5017
11 Ga 0.8174 0.6595 0.1578
12 Ga 0.8422 0.1826 0.3405
13 Ga 0.8422 0.5017 0.6595
14 Rh 0.0000 0.0000 0.5000
15 Rh 0.0000 0.5000 0.0000
16 Rh 0.5000 0.0000 0.0000
17 Rh 0.5000 0.5000 0.5000

---

(3)
A plane-wave DFT calculation with GGA-PBE was carried out for a relaxed RbGaH4 crystal.

Results
The value obtained for the total energy is -3.1107 eV per atom. The space-group type is Pnma, No. 62. The value obtained for the total magnetization is 0.00 μB/cell.

a b c (Å): 9.3698 5.6804 7.5313
angles (deg): 90.00 90.00 90.00
Sites, in units of the cell vectors:
1 Rb 0.1818 0.2500 0.1624
2 Rb 0.3182 0.7500 0.6624
3 Rb 0.6818 0.2500 0.3376
4 Rb 0.8182 0.7500 0.8376
5 Ga 0.0624 0.2500 0.6935
6 Ga 0.4376 0.7500 0.1935
7 Ga 0.5624 0.2500 0.8065
8 Ga 0.9376 0.7500 0.3065
9 H 0.0825 0.0223 0.8174
10 H 0.0825 0.4777 0.8174
11 H 0.0946 0.7500 0.3876
12 H 0.1845 0.2500 0.5460
13 H 0.3155 0.7500 0.0460
14 H 0.4054 0.2500 0.8876
15 H 0.4175 0.5223 0.3174
16 H 0.4175 0.9777 0.3174
17 H 0.5825 0.0223 0.6826
18 H 0.5825 0.4777 0.6826
19 H 0.5946 0.7500 0.1124
20 H 0.6845 0.2500 0.9540
21 H 0.8155 0.7500 0.4540
22 H 0.9054 0.2500 0.6124
23 H 0.9175 0.5223 0.1826
24 H 0.9175 0.9777 0.1826

---

(4)
A plane-wave DFT calculation with GGA-PBE was carried out for a relaxed Pm7Sm4In crystal.

Results
The calculation puts the formation energy at 0.174 eV/atom. The value obtained for the total energy is -4.3989 eV per atom. The calculation puts the energy relative to the lowest polymorph listed for this composition at 0.2249 eV/atom. The space-group type is C2/m, No. 12. The value obtained for the total magnetization is 0.00 μB/cell.

a b c (Å): 9.4095 9.4095 8.7878
angles (deg): 116.27 116.27 36.77
Sites, in units of the cell vectors:
1 Pm 0.0000 0.0000 0.0000
2 Pm 0.1996 0.1996 0.6366
3 Pm 0.3402 0.3402 0.0928
4 Pm 0.4067 0.4067 0.5790
5 Pm 0.5933 0.5933 0.4210
6 Pm 0.6598 0.6598 0.9072
7 Pm 0.8004 0.8004 0.3634
8 Sm 0.0327 0.0327 0.7002
9 Sm 0.1853 0.1853 0.2269
10 Sm 0.8147 0.8147 0.7731
11 Sm 0.9673 0.9673 0.2998
12 In 0.5000 0.5000 0.0000

---

(5)
A plane-wave DFT calculation with GGA-PBE was carried out for a relaxed Mg3Sc crystal.

Results
The calculation puts the formation energy at -0.035 eV/atom. The value obtained for the total energy is -2.8140 eV per atom. The space-group type is P4/mmm, No. 123. The value obtained for the total magnetization is 0.00 μB/cell.

a b c (Å): 4.8727 4.8727 3.8633
angles (deg): 90.00 90.00 90.00
Sites, in units of the cell vectors:
1 Mg 0.0000 0.0000 0.0000
2 Mg 0.0000 0.5000 0.5000
3 Mg 0.5000 0.0000 0.5000
4 Sc 0.5000 0.5000 0.0000

---

(6)
A plane-wave DFT calculation with GGA-PBE was carried out for a relaxed BOs3I crystal.

Results
The value obtained for the total energy is -7.3020 eV per atom. The calculation puts the energy relative to the lowest polymorph listed for this composition at 0.0000 eV/atom. The raw formation energy comes out at 1.081 eV/atom. The space-group type is Pm-3m, No. 221. The value obtained for the total magnetization is 0.00 μB/cell.

a b c (Å): 4.2192 4.2192 4.2192
angles (deg): 90.00 90.00 90.00
Sites, in units of the cell vectors:
1 B 0.0000 0.0000 0.0000
2 Os 0.0000 0.0000 0.5000
3 Os 0.0000 0.5000 0.0000
4 Os 0.5000 0.0000 0.0000
5 I 0.5000 0.5000 0.5000

---

(7)
A plane-wave DFT calculation with GGA-PBE was carried out for a relaxed KPrSeO crystal.

Results
The value obtained for the total energy is -5.6361 eV per atom. The raw formation energy comes out at -2.056 eV/atom. The space-group type is R3m, No. 160. The value obtained for the total magnetization is 0.00 μB/cell.

a b c (Å): 7.5489 7.5489 7.5489
angles (deg): 30.56 30.56 30.56
Sites, in units of the cell vectors:
1 K 0.0000 0.0000 0.0000
2 Pr 0.5203 0.5203 0.5203
3 Se 0.7659 0.7659 0.7659
4 O 0.2313 0.2313 0.2313

---

(8)
A plane-wave DFT calculation with GGA-PBE was carried out for a relaxed LiCoCuGe crystal.

Results
The calculation puts the formation energy at -0.144 eV/atom. The value obtained for the total energy is -4.5770 eV per atom. The space-group type is F-43m, No. 216. The value obtained for the total magnetization is 0.00 μB/cell.

a b c (Å): 4.0600 4.0600 4.0600
angles (deg): 60.00 60.00 60.00
Sites, in units of the cell vectors:
1 Li 0.0000 0.0000 0.0000
2 Co 0.2500 0.2500 0.2500
3 Cu 0.7500 0.7500 0.7500
4 Ge 0.5000 0.5000 0.5000

---

(9)
A plane-wave DFT calculation with GGA-PBE was carried out for a relaxed YEr3Pt crystal.

Results
The calculation puts the formation energy at -0.440 eV/atom. The value obtained for the total energy is -5.6783 eV per atom. The space-group type is Pmn2_1, No. 31. The value obtained for the total magnetization is 0.00 μB/cell.

a b c (Å): 7.5355 6.6878 6.0219
angles (deg): 90.00 90.00 90.00
Sites, in units of the cell vectors:
1 Y 0.0000 0.1429 0.0000
2 Y 0.5000 0.8571 0.5000
3 Er 0.0000 0.8505 0.4884
4 Er 0.2470 0.3011 0.4956
5 Er 0.2530 0.6989 0.9956
6 Er 0.5000 0.1495 0.9884
7 Er 0.7470 0.6989 0.9956
8 Er 0.7530 0.3011 0.4956
9 Pt 0.0000 0.5034 0.7477
10 Pt 0.5000 0.4966 0.2477

---

(10)
A plane-wave DFT calculation with GGA-PBE was carried out for a relaxed Cs3TmTh2Te6 crystal.

Results
The value obtained for the total energy is -4.6151 eV per atom. The raw formation energy comes out at -1.222 eV/atom. The space-group type is C2/m, No. 12. The value obtained for the total magnetization is 0.00 μB/cell.

a b c (Å): 7.8404 7.8404 9.4319
angles (deg): 97.97 97.97 119.98
Sites, in units of the cell vectors:
1 Cs 0.0000 0.0000 0.0000
2 Cs 0.3307 0.6693 0.0000
3 Cs 0.6693 0.3307 0.0000
4 Tm 0.5000 0.5000 0.5000
5 Th 0.1661 0.8339 0.5000
6 Th 0.8339 0.1661 0.5000
7 Te 0.1098 0.4352 0.3046
8 Te 0.2410 0.2410 0.6969
9 Te 0.4352 0.1098 0.3046
10 Te 0.5648 0.8902 0.6954
11 Te 0.7590 0.7590 0.3031
12 Te 0.8902 0.5648 0.6954

---

(11)
A plane-wave DFT calculation with GGA-PBE was carried out for a relaxed NbSi2Tc2 crystal.

Results
The value obtained for the total energy is -8.7505 eV per atom. The calculation puts the energy relative to the lowest polymorph listed for this composition at 0.0000 eV/atom. The raw formation energy comes out at -0.421 eV/atom. The space-group type is P4/mbm, No. 127. The value obtained for the total magnetization is 0.00 μB/cell.

a b c (Å): 6.9389 6.9389 2.9954
angles (deg): 90.00 90.00 90.00
Sites, in units of the cell vectors:
1 Nb 0.0000 0.0000 0.0000
2 Nb 0.5000 0.5000 0.0000
3 Si 0.1398 0.3602 0.0000
4 Si 0.3602 0.8602 0.0000
5 Si 0.6398 0.1398 0.0000
6 Si 0.8602 0.6398 0.0000
7 Tc 0.1524 0.6524 0.5000
8 Tc 0.3476 0.1524 0.5000
9 Tc 0.6524 0.8476 0.5000
10 Tc 0.8476 0.3476 0.5000

---

(12)
A plane-wave DFT calculation with GGA-PBE was carried out for a relaxed HfNbCo5 crystal.

Results
The calculation puts the formation energy at 0.161 eV/atom. The value obtained for the total energy is -7.7754 eV per atom. The space-group type is P4/mmm, No. 123. The value obtained for the total magnetization is 3.64 μB/cell.

a b c (Å): 4.2618 4.2618 5.4516
angles (deg): 90.00 90.00 90.00
Sites, in units of the cell vectors:
1 Hf 0.0000 0.0000 0.0000
2 Nb 0.5000 0.5000 0.5000
3 Co 0.0000 0.5000 0.2588
4 Co 0.0000 0.5000 0.7412
5 Co 0.5000 0.0000 0.2588
6 Co 0.5000 0.0000 0.7412
7 Co 0.5000 0.5000 0.0000

---

So what do the calculations give for DOS(E_F)? Going down the list: 6.27; 12.36; 0.00; 17.68; 3.32; 1.18; 0.00; 2.60; 5.67; 7.20; 2.92; 8.00 states/eV/f.u..